(1)
YIOF2 after structural relaxation, computed with PBE-GGA.

Cell: 5.176 5.176 3.981 Å, 90.00 90.00 90.00°
Atoms (fractional coordinates):
F 0.000 0.500 0.000
F 0.500 0.000 0.000
I 0.000 0.000 0.000
Y 0.500 0.500 0.500
O 0.000 0.000 0.500

Excess energy over the best structure of this formula in the dataset: 1586 meV/atom
M_tot: 0.00 μB/f.u.
SG: P4/mmm

(2)
YI2OF after structural relaxation, computed with PBE-GGA.

Cell: 6.231 6.231 4.121 Å, 90.00 90.00 90.00°
Each line ends with the local moment (μB).
Atoms (fractional coordinates):
I 0.500 0.000 0.000  -0.40
I 0.000 0.500 0.000  -0.40
Y 0.000 0.000 0.000  0.01
O 0.000 0.000 0.500  -0.06
F 0.500 0.500 0.500  -0.48

Excess energy over the best structure of this formula in the dataset: 0 meV/atom
M_tot: 1.80 μB/f.u.
SG: P4/mmm

(3)
YIO2F after structural relaxation, computed with PBE-GGA.

Cell: 4.150 4.150 5.452 Å, 90.00 90.00 90.00°
Each line ends with the local moment (μB).
Atoms (fractional coordinates):
O 0.500 0.000 0.000  0.00
O 0.000 0.500 0.000  0.00
I 0.000 0.000 0.000  -0.01
F 0.000 0.000 0.500  0.03
Y 0.500 0.500 0.500  0.44

M_tot: 0.72 μB/f.u.
SG: P4/mmm

(4)
YIO2F after structural relaxation, computed with PBE-GGA.

Cell: 4.547 4.547 4.292 Å, 90.00 90.00 90.00°
Each line ends with the local moment (μB).
Atoms (fractional coordinates):
I 0.500 0.500 0.500  0.15
O 0.000 0.500 0.000  0.12
O 0.500 0.000 0.000  0.12
F 0.000 0.000 0.500  0.01
Y 0.000 0.000 0.000  -0.01

M_tot: 0.50 μB/f.u.
SG: P4/mmm

(5)
YI2OF after structural relaxation, computed with PBE-GGA.

Cell: 5.271 5.271 3.992 Å, 90.00 90.00 90.00°
Atoms (fractional coordinates):
F 0.000 0.000 0.000
I 0.000 0.500 0.000
I 0.500 0.000 0.000
O 0.000 0.000 0.500
Y 0.500 0.500 0.500

Excess energy over the best structure of this formula in the dataset: 863 meV/atom
M_tot: 0.00 μB/f.u.
SG: P4/mmm

(6)
YIO2F after structural relaxation, computed with PBE-GGA.

Cell: 4.515 4.515 4.011 Å, 90.00 90.00 90.00°
Each line ends with the local moment (μB).
Atoms (fractional coordinates):
O 0.500 0.000 0.000  0.47
O 0.000 0.500 0.000  0.47
F 0.000 0.000 0.000  0.10
Y 0.500 0.500 0.500  -0.05
I 0.000 0.000 0.500  -0.02

M_tot: 1.09 μB/f.u.
SG: P4/mmm

(7)
YIOF2 after structural relaxation, computed with PBE-GGA.

Cell: 4.340 4.340 4.830 Å, 90.00 90.00 90.00°
Atoms (fractional coordinates):
O 0.000 0.000 0.500
Y 0.000 0.000 0.000
F 0.500 0.000 0.000
F 0.000 0.500 0.000
I 0.500 0.500 0.500

Excess energy over the best structure of this formula in the dataset: 0 meV/atom
M_tot: 0.00 μB/f.u.
SG: P4/mmm

(8)
ZnIO2F after structural relaxation, computed with PBE-GGA.

Cell: 4.105 4.105 3.912 Å, 90.00 90.00 90.00°
Atoms (fractional coordinates):
O 0.000 0.500 0.000
O 0.500 0.000 0.000
Zn 0.000 0.000 0.000
F 0.000 0.000 0.500
I 0.500 0.500 0.500

M_tot: 0.00 μB/f.u.
SG: P4/mmm

(9)
ZnIOF2 after structural relaxation, computed with PBE-GGA.

Cell: 3.745 3.745 5.807 Å, 90.00 90.00 90.00°
Atoms (fractional coordinates):
Zn 0.000 0.000 0.000
F 0.500 0.000 0.000
F 0.000 0.500 0.000
I 0.500 0.500 0.500
O 0.000 0.000 0.500

Excess energy over the best structure of this formula in the dataset: 0 meV/atom
M_tot: 0.00 μB/f.u.
SG: P4/mmm

(10)
ZnIOF2 after structural relaxation, computed with PBE-GGA.

Cell: 4.803 4.803 4.023 Å, 90.00 90.00 90.00°
Each line ends with the local moment (μB).
Atoms (fractional coordinates):
F 0.500 0.000 0.000  0.02
F 0.000 0.500 0.000  0.02
O 0.000 0.000 0.500  0.02
I 0.000 0.000 0.000  0.02
Zn 0.500 0.500 0.500  0.21

Excess energy over the best structure of this formula in the dataset: 549 meV/atom
M_tot: 0.45 μB/f.u.
SG: P4/mmm

(11)
ZnIO2F after structural relaxation, computed with PBE-GGA.

Cell: 4.432 4.432 4.237 Å, 90.00 90.00 90.00°
Each line ends with the local moment (μB).
Atoms (fractional coordinates):
Zn 0.500 0.500 0.500  -0.03
O 0.000 0.500 0.000  1.02
O 0.500 0.000 0.000  1.02
I 0.000 0.000 0.500  0.01
F 0.000 0.000 0.000  0.16

M_tot: 2.54 μB/f.u.
SG: P4/mmm

(12)
ZnIO2F after structural relaxation, computed with PBE-GGA.

Cell: 4.049 4.049 5.220 Å, 90.00 90.00 90.00°
Each line ends with the local moment (μB).
Atoms (fractional coordinates):
F 0.000 0.000 0.500  0.07
Zn 0.500 0.500 0.500  0.28
O 0.500 0.000 0.000  0.02
O 0.000 0.500 0.000  0.02
I 0.000 0.000 0.000  -0.01

M_tot: 0.59 μB/f.u.
SG: P4/mmm

(13)
ZnI2OF after structural relaxation, computed with PBE-GGA.

Cell: 5.965 5.965 3.521 Å, 90.00 90.00 90.00°
Each line ends with the local moment (μB).
Atoms (fractional coordinates):
F 0.500 0.500 0.500  0.43
Zn 0.000 0.000 0.000  0.04
O 0.000 0.000 0.500  0.33
I 0.000 0.500 0.000  0.43
I 0.500 0.000 0.000  0.43

Excess energy over the best structure of this formula in the dataset: 0 meV/atom
M_tot: 2.14 μB/f.u.
SG: P4/mmm

(14)
ZnI2OF after structural relaxation, computed with PBE-GGA.

Cell: 5.136 5.136 3.985 Å, 90.00 90.00 90.00°
Atoms (fractional coordinates):
I 0.500 0.000 0.000
I 0.000 0.500 0.000
F 0.000 0.000 0.000
O 0.000 0.000 0.500
Zn 0.500 0.500 0.500

Excess energy over the best structure of this formula in the dataset: 656 meV/atom
M_tot: 0.00 μB/f.u.
SG: P4/mmm

(15)
ZnIO2F after structural relaxation, computed with PBE-GGA.

Cell: 3.722 3.722 7.110 Å, 90.00 90.00 90.00°
Each line ends with the local moment (μB).
Atoms (fractional coordinates):
I 0.000 0.000 0.500  -0.04
Zn 0.000 0.000 0.000  0.00
F 0.500 0.500 0.500  -0.02
O 0.000 0.500 0.000  0.55
O 0.500 0.000 0.000  0.55

M_tot: 1.23 μB/f.u.
SG: P4/mmm

(16)
ZrIO2F after structural relaxation, computed with PBE-GGA.

Cell: 4.266 4.266 4.340 Å, 90.00 90.00 90.00°
Each line ends with the local moment (μB).
Atoms (fractional coordinates):
Zr 0.000 0.000 0.000  -0.02
F 0.000 0.000 0.500  0.03
O 0.500 0.000 0.000  0.23
O 0.000 0.500 0.000  0.23
I 0.500 0.500 0.500  0.65

M_tot: 1.45 μB/f.u.
SG: P4/mmm

(17)
ZrIO2F after structural relaxation, computed with PBE-GGA.

Cell: 4.044 4.044 5.727 Å, 90.00 90.00 90.00°
Each line ends with the local moment (μB).
Atoms (fractional coordinates):
Zr 0.500 0.500 0.500  1.56
F 0.000 0.000 0.500  0.03
O 0.000 0.500 0.000  0.01
O 0.500 0.000 0.000  0.01
I 0.000 0.000 0.000  -0.01

M_tot: 2.31 μB/f.u.
SG: P4/mmm

(18)
ZrIOF2 after structural relaxation, computed with PBE-GGA.

Cell: 5.095 5.095 3.963 Å, 90.00 90.00 90.00°
Each line ends with the local moment (μB).
Atoms (fractional coordinates):
O 0.000 0.000 0.500  0.05
I 0.000 0.000 0.000  -0.06
F 0.000 0.500 0.000  -0.02
F 0.500 0.000 0.000  -0.02
Zr 0.500 0.500 0.500  1.40

Excess energy over the best structure of this formula in the dataset: 2066 meV/atom
M_tot: 1.92 μB/f.u.
SG: P4/mmm

(19)
ZrIOF2 after structural relaxation, computed with PBE-GGA.

Cell: 4.434 4.434 4.174 Å, 90.00 90.00 90.00°
Each line ends with the local moment (μB).
Atoms (fractional coordinates):
F 0.000 0.500 0.000  0.02
F 0.500 0.000 0.000  0.02
O 0.000 0.000 0.500  0.18
Zr 0.000 0.000 0.000  -0.02
I 0.500 0.500 0.500  0.52

Excess energy over the best structure of this formula in the dataset: 0 meV/atom
M_tot: 1.00 μB/f.u.
SG: P4/mmm

(20)
ZrIO2F after structural relaxation, computed with PBE-GGA.

Cell: 4.417 4.417 3.870 Å, 90.00 90.00 90.00°
Each line ends with the local moment (μB).
Atoms (fractional coordinates):
Zr 0.500 0.500 0.500  -0.35
O 0.000 0.500 0.000  0.25
O 0.500 0.000 0.000  0.25
I 0.000 0.000 0.500  0.00
F 0.000 0.000 0.000  0.06

M_tot: 0.14 μB/f.u.
SG: P4/mmm

(21)
ZrIO2F after structural relaxation, computed with PBE-GGA.

Cell: 4.034 4.034 6.335 Å, 90.00 90.00 90.00°
Each line ends with the local moment (μB).
Atoms (fractional coordinates):
O 0.000 0.500 0.000  0.10
O 0.500 0.000 0.000  0.10
I 0.000 0.000 0.500  0.20
Zr 0.000 0.000 0.000  -0.03
F 0.500 0.500 0.500  0.13

M_tot: 0.64 μB/f.u.
SG: P4/mmm

(22)
OsIF3 after structural relaxation, computed with PBE-GGA.

Cell: 4.733 4.733 4.733 Å, 90.00 90.00 90.00°
Each line ends with the local moment (μB).
Atoms (fractional coordinates):
I 0.000 0.000 0.000  0.07
F 0.000 0.000 0.500  0.02
F 0.500 0.000 0.000  0.04
F 0.000 0.500 0.000  0.06
Os 0.500 0.500 0.500  3.73

Excess energy over the best structure of this formula in the dataset: 1013 meV/atom
M_tot: 4.74 μB/f.u.
SG: Pm-3m

(23)
OsIF3 after structural relaxation, computed with PBE-GGA.

Cell: 4.301 4.301 4.301 Å, 90.00 90.00 90.00°
Each line ends with the local moment (μB).
Atoms (fractional coordinates):
F 0.000 0.000 0.500  0.08
F 0.000 0.500 0.000  0.10
F 0.500 0.000 0.000  0.10
I 0.500 0.500 0.500  0.62
Os 0.000 0.000 0.000  1.92

Excess energy over the best structure of this formula in the dataset: 0 meV/atom
M_tot: 3.21 μB/f.u.
SG: Pm-3m

(24)
Os2I2F after structural relaxation, computed with PBE-GGA.

Cell: 5.400 5.400 5.225 Å, 58.89 58.89 90.00°
Each line ends with the local moment (μB).
Atoms (fractional coordinates):
Os 0.665 0.665 0.669  0.61
Os 0.335 0.335 0.331  0.61
I 0.250 0.750 0.500  0.02
I 0.750 0.250 0.500  0.02
F 0.000 0.000 0.000  0.03

Excess energy over the best structure of this formula in the dataset: 0 meV/atom
M_tot: 1.44 μB/f.u.
SG: I4/mmm

(25)
Os3IF after structural relaxation, computed with PBE-GGA.

Cell: 4.888 4.888 4.888 Å, 90.00 90.00 90.00°
Each line ends with the local moment (μB).
Atoms (fractional coordinates):
Os 0.000 0.000 0.500  1.35
Os 0.000 0.500 0.000  1.30
Os 0.500 0.000 0.000  1.32
F 0.500 0.500 0.500  0.22
I 0.000 0.000 0.000  -0.05

Excess energy over the best structure of this formula in the dataset: 705 meV/atom
M_tot: 4.50 μB/f.u.
SG: Pm-3m

(26)
OsI2F after structural relaxation, computed with PBE-GGA.

Cell: 6.756 6.756 6.770 Å, 60.07 60.07 90.00°
Atoms (fractional coordinates):
I 0.092 0.625 0.250
I 0.875 0.908 0.750
I 0.658 0.125 0.250
I 0.375 0.342 0.750
F 0.500 0.500 0.000
F 0.250 0.750 0.500
Os 0.750 0.250 0.500
Os 0.000 0.000 0.000

Excess energy over the best structure of this formula in the dataset: 0 meV/atom
M_tot: 0.00 μB/f.u.
SG: I-42d

(27)
Os3IF after structural relaxation, computed with PBE-GGA.

Cell: 4.350 4.350 4.350 Å, 90.00 90.00 90.00°
Atoms (fractional coordinates):
Os 0.000 0.500 0.000
Os 0.500 0.000 0.000
Os 0.000 0.000 0.500
F 0.000 0.000 0.000
I 0.500 0.500 0.500

Excess energy over the best structure of this formula in the dataset: 0 meV/atom
M_tot: 0.00 μB/f.u.
SG: Pm-3m

(28)
OsI2F2 after structural relaxation, computed with PBE-GGA.

Cell: 3.505 3.505 7.283 Å, 76.08 76.08 90.00°
Each line ends with the local moment (μB).
Atoms (fractional coordinates):
F 0.750 0.250 0.500  0.00
F 0.250 0.750 0.500  0.00
Os 0.000 0.000 0.000  0.27
I 0.615 0.615 0.770  -0.01
I 0.385 0.385 0.230  -0.01

Excess energy over the best structure of this formula in the dataset: 0 meV/atom
M_tot: 0.25 μB/f.u.
SG: I4/mmm

Number 1: formation energy from raw total energies -3.849 eV per formula unit. Number 2: formation energy from raw total energies -5.460 eV per formula unit. Number 3: formation energy from raw total energies -3.409 eV per formula unit. Number 4: formation energy from raw total energies -8.533 eV per formula unit. Number 5: formation energy from raw total energies -1.147 eV per formula unit. Number 6: formation energy from raw total energies -2.496 eV per formula unit. Number 7: formation energy from raw total energies -11.779 eV per formula unit. Number 8: formation energy from raw total energies -1.963 eV per formula unit. Number 9: formation energy from raw total energies -4.746 eV per formula unit. Number 10: formation energy from raw total energies -2.001 eV per formula unit. Number 11: formation energy from raw total energies 3.616 eV per formula unit. Number 12: formation energy from raw total energies -0.776 eV per formula unit. Number 13: formation energy from raw total energies -0.495 eV per formula unit. Number 14: formation energy from raw total energies 2.787 eV per formula unit. Number 15: formation energy from raw total energies -0.449 eV per formula unit. Number 16: formation energy from raw total energies -9.387 eV per formula unit. Number 17: formation energy from raw total energies -0.437 eV per formula unit. Number 18: formation energy from raw total energies -0.821 eV per formula unit. Number 19: formation energy from raw total energies -11.150 eV per formula unit. Number 20: formation energy from raw total energies 0.397 eV per formula unit. Number 21: formation energy from raw total energies -7.866 eV per formula unit. Number 22: formation energy from raw total energies 3.302 eV per formula unit. Number 23: formation energy from raw total energies -1.760 eV per formula unit. Number 24: formation energy from raw total energies 2.531 eV per formula unit. Number 25: formation energy from raw total energies 14.194 eV per formula unit. Number 26: formation energy from raw total energies 0.761 eV per formula unit. Number 27: formation energy from raw total energies 10.668 eV per formula unit. Number 28: formation energy from raw total energies 0.944 eV per formula unit.